This record from the Alexandria database describes a relaxed structure of YTmNi2. The functional is PBE-GGA.

Geometry as POSCAR:
```
YTmNi2
1.0
4.781 0.000 0.000
0.000 4.781 0.000
0.000 0.000 3.311
Y Tm Ni
1 1 2
direct
0.000 0.000 0.000 Y
0.500 0.500 0.000 Tm
0.000 0.500 0.500 Ni
0.500 0.000 0.500 Ni
```

**ρ**: 8.23 g/cm³
**Energy**: -6.03 eV/atom
**ΔH_f (0 K)**: -408 meV per atom